The following is a PBE calculation of a relaxed ErNiPt crystal, from the Alexandria database.

Results
**Uncorrected energy**: -38.09 eV per cell
**E_form**: -2.66 eV per formula unit
**DOS at the Fermi energy**: 0.52 states/eV/atom

Structure (POSCAR):
```
ErNiPt
1.0
-2.548 2.724 3.657
2.548 -2.724 3.657
2.548 2.724 -3.657
Er Ni Pt
2 2 2
direct
0.370 0.120 0.250
0.630 0.880 0.750
0.000 0.000 0.500
0.000 0.500 0.000
0.000 0.500 0.500
0.500 0.500 0.000
```